*1*
First-principles (PBE-GGA) data for CrNiAsSe after structural relaxation, as listed in Alexandria via LeMat-Bulk.

Computed properties:
**Crystal system**: triclinic
**Space group**: P1

Cell: 3.809 3.812 7.077 Å, 75.32 75.44 59.98°
Site moments in Bohr magnetons follow the coordinates.
Atoms (fractional coordinates):
Ni 0.322 0.323 0.644  -0.23
As 0.951 0.950 0.769  -0.14
Se 0.435 0.438 0.280  -0.11
Cr 0.058 0.060 0.420  2.30

=====

*2*
First-principles (PBE-GGA) data for CrNiAsSe after structural relaxation, as listed in Alexandria via LeMat-Bulk.

Computed properties:
**Crystal system**: orthorhombic
**Space group**: Amm2

Cell: 3.251 3.370 11.798 Å, 90.00 90.00 90.00°
Site moments in Bohr magnetons follow the coordinates.
Atoms (fractional coordinates):
Ni 0.000 0.000 0.898  0.02
Ni 0.000 0.500 0.398  0.02
As 0.500 0.000 0.356  -0.08
As 0.500 0.500 0.856  -0.08
Se 0.000 0.000 0.103  -0.15
Se 0.000 0.500 0.603  -0.15
Cr 0.500 0.000 0.700  2.63
Cr 0.500 0.500 0.200  2.63

=====

*3*
First-principles (PBE-GGA) data for CrNiAsSe after structural relaxation, as listed in Alexandria via LeMat-Bulk.

Computed properties:
**Crystal system**: trigonal
**Space group**: P3m1

Cell: 3.826 3.826 5.488 Å, 89.98 89.96 59.98°
Site moments in Bohr magnetons follow the coordinates.
Atoms (fractional coordinates):
Ni 0.190 0.026 0.221  -0.23
As 0.857 0.693 0.132  -0.13
Se 0.191 0.026 0.647  -0.13
Cr 0.524 0.359 0.886  2.61

=====

*3* is favored, and the nearest alternative lies 1.3 kJ/mol of atoms above it.